# V3ReGe | Alexandria | PBE | optimized geometry
# DFT formation energy = 1.148 eV/atom
# Final energy = -38.68 eV/f.u.
# Total magnetic moment = 0.0469 μB per atom
# Mass density = 7.10 Mg/m³
data_V3ReGe
_space_group_name_H-M_alt 'P m -3 m'
_space_group_IT_number 221
_space_group_name_Hall '-P 4 2 3'
_cell_length_a 4.5823
_cell_length_b 4.5823
_cell_length_c 4.5823
_cell_angle_alpha 90.00
_cell_angle_beta 90.00
_cell_angle_gamma 90.00
loop_
_atom_site_label
_atom_site_type_symbol
_atom_site_fract_x
_atom_site_fract_y
_atom_site_fract_z
V1 V 0.0000 0.0000 0.5000
Re1 Re 0.0000 0.0000 0.0000
Ge1 Ge 0.5000 0.5000 0.5000

# CsNa10Tl3 | Alexandria | PBE | optimized geometry
# DFT formation energy = -0.012 eV/atom
# Final energy = -21.31 eV/f.u.
# Total magnetic moment = 0.0000 μB per atom
# Mass density = 2.90 Mg/m³
data_CsNa10Tl3
_space_group_name_H-M_alt 'F m -3 m'
_space_group_IT_number 225
_space_group_name_Hall '-F 4 2 3'
_cell_length_a 16.4742
_cell_length_b 16.4742
_cell_length_c 16.4742
_cell_angle_alpha 90.00
_cell_angle_beta 90.00
_cell_angle_gamma 90.00
loop_
_atom_site_label
_atom_site_type_symbol
_atom_site_fract_x
_atom_site_fract_y
_atom_site_fract_z
Cs1 Cs 0.2500 0.2500 0.2500
Na1 Na 0.0000 0.1664 0.1664
Na2 Na 0.1084 0.1084 0.3916
Tl1 Tl 0.0000 0.0000 0.2658

# CaNiGe4 | Alexandria | PBE | optimized geometry
# DFT formation energy = -0.093 eV/atom
# Final energy = -26.81 eV/f.u.
# Total magnetic moment = 0.0000 μB per atom
# Mass density = 5.03 Mg/m³
data_CaNiGe4
_space_group_name_H-M_alt 'P 42/n m c'
_space_group_IT_number 137
_cell_length_a 5.0677
_cell_length_b 5.0677
_cell_length_c 10.0017
_cell_angle_alpha 90.00
_cell_angle_beta 90.00
_cell_angle_gamma 90.00
loop_
_space_group_symop_operation_xyz
'x,y,z'
'-x,-y,-z'
'-y+1/2,x,z+1/2'
'y+1/2,-x,-z+1/2'
'-x+1/2,-y+1/2,z'
'x+1/2,y+1/2,-z'
'y,-x+1/2,z+1/2'
'-y,x+1/2,-z+1/2'
'x+1/2,-y,-z'
'-x+1/2,y,z'
'-y,-x,-z+1/2'
'y,x,z+1/2'
'-x,y+1/2,-z'
'x,-y+1/2,z'
'y+1/2,x+1/2,-z+1/2'
'-y+1/2,-x+1/2,z+1/2'
loop_
_atom_site_label
_atom_site_type_symbol
_atom_site_fract_x
_atom_site_fract_y
_atom_site_fract_z
Ca1 Ca 0.2500 0.7500 0.2500
Ni1 Ni 0.2500 0.7500 0.7500
Ge1 Ge 0.0037 0.2500 0.0544

# Cs2NaBr | Alexandria | PBE | optimized geometry
# Final energy = -7.50 eV/f.u.
# Total magnetic moment = 0.0000 μB per atom
# Mass density = 2.76 Mg/m³
data_Cs2NaBr
_space_group_name_H-M_alt 'F m -3 m'
_space_group_IT_number 225
_space_group_name_Hall '-F 4 2 3'
_cell_length_a 9.6070
_cell_length_b 9.6070
_cell_length_c 9.6070
_cell_angle_alpha 90.00
_cell_angle_beta 90.00
_cell_angle_gamma 90.00
loop_
_atom_site_label
_atom_site_type_symbol
_atom_site_fract_x
_atom_site_fract_y
_atom_site_fract_z
Cs1 Cs 0.2500 0.2500 0.2500
Na1 Na 0.0000 0.0000 0.0000
Br1 Br 0.0000 0.0000 0.5000

In Å³/f.u., the volume values for the records above are, in order, 96 559 128 222.